An optimized crystal structure of V6O7F5, computed with PBE+U.

a = 4.697 Å, b = 5.654 Å, c = 7.760 Å
α = 86.12°, β = 89.37°, γ = 89.02°
Element x y z (fractional)
V  0.000  0.000  0.000
V  0.010  0.647  0.328
V  0.050  0.324  0.668
V  0.458  0.818  0.660
V  0.524  0.158  0.334
V  0.548  0.476  0.994
O  0.208  0.354  0.435
O  0.232  0.013  0.773
O  0.324  0.851  0.438
O  0.331  0.529  0.765
O  0.710  0.448  0.226
O  0.825  0.947  0.227
O  0.833  0.283  0.892
F  0.222  0.689  0.087
F  0.323  0.188  0.097
F  0.720  0.113  0.572
F  0.723  0.784  0.887
F  0.812  0.628  0.572

Output
- Calculated density: 4.142 Mg/m³
- Calculated total energy: -7.266 eV per atom
- Symmetry: P1 (1)